# La2ScZn

Crystalline La2ScZn at its relaxed geometry (PBE, Alexandria).

Cell and atoms, written as POSCAR:
```
La2ScZn
1.0
5.344 0.000 0.000
2.672 4.628 0.000
2.672 1.543 4.364
Sc La Zn
1 2 1
Direct
0.500 0.500 0.500
0.000 0.000 0.000
0.250 0.250 0.250
0.750 0.750 0.750
```

---

# LaSc2Zn

Crystalline LaSc2Zn at its relaxed geometry (PBE, Alexandria).

Cell and atoms, written as POSCAR:
```
LaSc2Zn
1.0
3.612 0.000 0.000
0.000 5.349 0.000
0.000 0.000 5.125
Zn La Sc
1 1 2
Direct
0.500 0.000 0.500
0.000 0.500 0.500
0.500 0.500 0.000
0.000 0.000 0.000
```

---

# La2ScZn

Crystalline La2ScZn at its relaxed geometry (PBE, Alexandria).

Cell and atoms, written as POSCAR:
```
La2ScZn
1.0
-3.065 -0.798 1.789
0.087 -4.986 -2.074
2.975 -1.744 4.318
La Sc Zn
2 1 1
Direct
0.500 0.500 0.000
0.000 0.000 0.000
0.500 0.000 0.500
0.000 0.500 0.500
```

---

# LaScZn3

Crystalline LaScZn3 at its relaxed geometry (PBE, Alexandria).

Cell and atoms, written as POSCAR:
```
LaScZn3
1.0
-4.227 -2.675 0.671
2.220 -2.572 3.732
-1.636 3.421 3.331
La Zn Sc
1 3 1
Direct
0.500 0.500 0.500
0.500 0.000 0.000
0.000 0.500 0.000
0.000 0.000 0.500
0.000 0.000 0.000
```

---

# LaScZn2

Crystalline LaScZn2 at its relaxed geometry (PBE, Alexandria).

Cell and atoms, written as POSCAR:
```
LaScZn2
1.0
3.370 0.000 0.000
0.000 3.370 0.000
0.000 0.000 7.996
Zn La Sc
2 1 1
Direct
0.000 0.000 0.019
0.500 0.500 0.193
0.000 0.000 0.474
0.500 0.500 0.813
```

---

# LaSc2Zn

Crystalline LaSc2Zn at its relaxed geometry (PBE, Alexandria).

Cell and atoms, written as POSCAR:
```
LaSc2Zn
1.0
-2.322 -8.767 6.179
0.727 -8.210 7.245
-1.796 -6.600 8.582
Sc Zn La
2 1 1
Direct
0.101 0.101 0.101
0.899 0.899 0.899
0.500 0.500 0.500
0.000 0.000 0.000
```

---

| no. | E_tot (Ha/atom) |
| --- | --- |
| 1 | -0.1577 |
| 2 | -0.1737 |
| 3 | -0.1582 |
| 4 | -0.1033 |
| 5 | -0.1309 |
| 6 | -0.1703 |